Entry 1:
Computed, not measured: crystalline Ac7PmCo3 at its relaxed geometry at the PBE level of DFT.

Structure (POSCAR):
```
Ac7PmCo3
1.0
-3.467 -3.376 -4.712
6.156 -5.414 -0.650
-6.067 -1.301 5.397
Ac Pm Co
7 1 3
Direct
0.024 0.831 0.662
0.024 0.338 0.169
0.010 0.333 0.667
0.542 0.168 0.335
0.542 0.168 0.832
0.542 0.665 0.832
0.024 0.831 0.169
0.563 0.667 0.333
0.781 0.502 0.004
0.781 0.996 0.498
0.781 0.502 0.498
```

Results
The calculation puts the density of states at the Fermi level at 13.26 states/eV per cell. As for the calculated total energy: -55.1 eV per cell.



Entry 2:
Computed, not measured: crystalline AcPmCo at its relaxed geometry at the PBE level of DFT.

Structure (POSCAR):
```
AcPmCo
1.0
-4.714 -1.610 -4.215
1.315 -3.902 0.020
-2.845 1.228 2.712
Ac Co Pm
1 1 1
Direct
0.768 0.667 0.333
0.008 0.000 0.000
0.224 0.333 0.667
```

Results
The calculation puts the density of states at the Fermi level at 2.75 states/eV per cell. As for the calculated total energy: -16.0 eV per cell.



Entry 3:
Computed, not measured: crystalline Ac6PmCo2 at its relaxed geometry at the PBE level of DFT.

Structure (POSCAR):
```
Ac6PmCo2
1.0
-2.229 7.955 6.212
5.692 0.513 6.931
6.638 6.050 0.181
Ac Pm Co
12 2 4
Direct
0.618 0.745 0.570
0.882 0.430 0.255
0.382 0.255 0.430
0.118 0.570 0.745
0.954 0.941 0.339
0.546 0.661 0.059
0.046 0.059 0.661
0.454 0.339 0.941
0.166 0.660 0.085
0.334 0.915 0.340
0.834 0.340 0.915
0.666 0.085 0.660
0.250 0.088 0.912
0.750 0.912 0.088
0.322 0.879 0.716
0.178 0.284 0.121
0.678 0.121 0.284
0.822 0.716 0.879
```

Results
The calculation puts the density of states at the Fermi level at 22.45 states/eV per cell. As for the calculated total energy: -85.5 eV per cell.



Values for total moment, μB per cell, ordered as above
0.0, 0.0, 0.0